Computed, not measured: an optimized crystal structure of Pr2DyYSe4 at the PBE level of DFT.

Summary:
**V**: 25.71 A^3/atom
**Formation energy from raw total energies**: -14.452 eV per formula unit
**E**: -49.0 eV/cell
**Space-group type**: P2/m, No. 10

Cell: 7.152 4.102 7.396 Å, 90.00 108.61 90.00°
Element x y z (fractional)
Pr (0.000, 0.000, 0.000)
Pr (0.500, 0.500, 0.000)
Dy (0.000, 0.500, 0.500)
Y (0.500, 0.000, 0.500)
Se (0.243, 0.000, 0.733)
Se (0.255, 0.500, 0.267)
Se (0.745, 0.500, 0.733)
Se (0.757, 0.000, 0.267)

=====

Computed, not measured: an optimized crystal structure of SrLuAg2 at the PBE level of DFT.

Summary:
**V**: 25.98 A^3/atom
**E**: -12.7 eV/cell
**DFT formation energy**: -0.19 eV per atom
**Space-group type**: Fm-3m, No. 225

Cell: 5.277 5.277 5.277 Å, 60.00 60.00 60.00°
Element x y z (fractional)
Sr (0.000, 0.000, 0.000)
Lu (0.500, 0.500, 0.500)
Ag (0.250, 0.250, 0.250)
Ag (0.750, 0.750, 0.750)

=====

Computed, not measured: an optimized crystal structure of W2Au at the PBE level of DFT.

Summary:
**V**: 16.55 A^3/atom
**E**: -56.0 eV/cell
**DFT formation energy**: 0.40 eV per atom
**Space-group type**: Cm, No. 8

Cell: 5.558 5.558 6.932 Å, 104.53 104.53 28.68°
Element x y z (fractional)
W (0.000, 0.000, 0.000)
W (0.059, 0.059, 0.627)
W (0.393, 0.393, 0.289)
W (0.727, 0.727, 0.960)
Au (0.334, 0.334, 0.679)
Au (0.667, 0.667, 0.337)

=====

Computed, not measured: an optimized crystal structure of CaMgPd2S at the PBE level of DFT.

Summary:
**V**: 22.11 A^3/atom
**Formation energy from raw total energies**: -2.080 eV per formula unit
**E**: -20.2 eV/cell
**Space-group type**: P4/mmm, No. 123

Cell: 4.683 4.683 5.041 Å, 90.00 90.00 90.00°
Element x y z (fractional)
Ca (0.000, 0.000, 0.000)
Mg (0.500, 0.500, 0.000)
Pd (0.000, 0.500, 0.500)
Pd (0.500, 0.000, 0.500)
S (0.000, 0.000, 0.500)

=====

Computed, not measured: an optimized crystal structure of BaTaIn2 at the PBE level of DFT.

Summary:
**V**: 36.60 A^3/atom
**E**: -33.2 eV/cell
**DFT formation energy**: 0.66 eV per atom
**Space-group type**: I-42d, No. 122

Cell: 10.382 10.382 10.382 Å, 149.19 149.19 44.13°
Element x y z (fractional)
Ba (0.000, 0.000, 0.000)
Ba (0.750, 0.250, 0.500)
Ta (0.250, 0.750, 0.500)
Ta (0.500, 0.500, 0.000)
In (0.277, 0.625, 0.152)
In (0.375, 0.527, 0.652)
In (0.473, 0.125, 0.848)
In (0.875, 0.723, 0.348)

=====

Computed, not measured: an optimized crystal structure of PmDyMnRu at the PBE level of DFT.

Summary:
**V**: 21.63 A^3/atom
**E**: -27.8 eV/cell
**DFT formation energy**: 0.00 eV per atom
**Space-group type**: F-43m, No. 216

Cell: 4.965 4.965 4.965 Å, 60.00 60.00 60.00°
Element x y z (fractional)
Pm (0.000, 0.000, 0.000)
Dy (0.500, 0.500, 0.500)
Mn (0.250, 0.250, 0.250)
Ru (0.750, 0.750, 0.750)

=====

Computed, not measured: an optimized crystal structure of Pr2Nd7Mg2 at the PBE level of DFT.

Summary:
**V**: 33.64 A^3/atom
**E**: -45.0 eV/cell
**DFT formation energy**: 0.10 eV per atom
**Space-group type**: C2/m, No. 12

Cell: 8.006 8.006 6.242 Å, 104.71 104.71 94.31°
Element x y z (fractional)
Pr (0.080, 0.080, 0.300)
Pr (0.920, 0.920, 0.700)
Nd (0.081, 0.562, 0.312)
Nd (0.295, 0.295, 0.905)
Nd (0.438, 0.919, 0.688)
Nd (0.500, 0.500, 0.500)
Nd (0.562, 0.081, 0.312)
Nd (0.705, 0.705, 0.095)
Nd (0.919, 0.438, 0.688)
Mg (0.269, 0.731, 0.000)
Mg (0.731, 0.269, 0.000)

=====

Computed, not measured: an optimized crystal structure of CaMg4Al4 at the PBE level of DFT.

Summary:
**V**: 23.13 A^3/atom
**E**: -45.6 eV/cell
**DFT formation energy**: 0.06 eV per atom
**Space-group type**: P4_2/nmc, No. 137

Cell: 6.529 6.529 9.767 Å, 90.00 90.00 90.00°
Element x y z (fractional)
Ca (0.250, 0.750, 0.250)
Ca (0.750, 0.250, 0.750)
Mg (0.020, 0.250, 0.164)
Mg (0.250, 0.020, 0.664)
Mg (0.250, 0.480, 0.664)
Mg (0.480, 0.250, 0.164)
Mg (0.520, 0.750, 0.836)
Mg (0.750, 0.520, 0.336)
Mg (0.750, 0.980, 0.336)
Mg (0.980, 0.750, 0.836)
Al (0.043, 0.250, 0.457)
Al (0.250, 0.043, 0.957)
Al (0.250, 0.457, 0.957)
Al (0.457, 0.250, 0.457)
Al (0.543, 0.750, 0.543)
Al (0.750, 0.543, 0.043)
Al (0.750, 0.957, 0.043)
Al (0.957, 0.750, 0.543)

=====

Computed, not measured: an optimized crystal structure of TcRuS2Cl at the PBE level of DFT.

Summary:
**V**: 20.53 A^3/atom
**Formation energy from raw total energies**: 4.008 eV per formula unit
**E**: -25.7 eV/cell
**Space-group type**: P4/mmm, No. 123

Cell: 4.561 4.561 4.933 Å, 90.00 90.00 90.00°
Element x y z (fractional)
Tc (0.000, 0.000, 0.000)
Ru (0.500, 0.500, 0.500)
S (0.000, 0.500, 0.000)
S (0.500, 0.000, 0.000)
Cl (0.000, 0.000, 0.500)

=====

Computed, not measured: an optimized crystal structure of CaTl2In at the PBE level of DFT.

Summary:
**V**: 29.46 A^3/atom
**E**: -10.3 eV/cell
**DFT formation energy**: -0.20 eV per atom
**Space-group type**: P2/m, No. 10

Cell: 3.678 5.430 5.921 Å, 90.00 94.83 90.00°
Element x y z (fractional)
Ca (0.000, 0.000, 0.000)
Tl (0.287, 0.500, 0.740)
Tl (0.713, 0.500, 0.260)
In (0.500, 0.000, 0.500)

=====

Computed, not measured: an optimized crystal structure of Ba6Te2AsI3 at the PBE level of DFT.

Summary:
**V**: 43.55 A^3/atom
**Formation energy from raw total energies**: -18.664 eV per formula unit
**E**: -45.8 eV/cell
**Space-group type**: C2/m, No. 12

Cell: 8.585 8.585 8.665 Å, 99.51 99.51 119.92°
Element x y z (fractional)
Ba (0.073, 0.390, 0.221)
Ba (0.241, 0.241, 0.777)
Ba (0.390, 0.073, 0.221)
Ba (0.610, 0.927, 0.779)
Ba (0.759, 0.759, 0.223)
Ba (0.927, 0.610, 0.779)
Te (0.334, 0.666, 0.000)
Te (0.666, 0.334, 0.000)
As (0.000, 0.000, 0.000)
I (0.171, 0.829, 0.500)
I (0.500, 0.500, 0.500)
I (0.829, 0.171, 0.500)

=====

Computed, not measured: an optimized crystal structure of InNiPt2 at the PBE level of DFT.

Summary:
**V**: 15.82 A^3/atom
**E**: -21.4 eV/cell
**DFT formation energy**: -0.19 eV per atom
**Space-group type**: F-43m, No. 216

Cell: 4.473 4.473 4.473 Å, 60.00 60.00 60.00°
Element x y z (fractional)
In (0.000, 0.000, 0.000)
Ni (0.750, 0.750, 0.750)
Pt (0.250, 0.250, 0.250)
Pt (0.500, 0.500, 0.500)

=====

Computed, not measured: an optimized crystal structure of VSnMo3 at the PBE level of DFT.

Summary:
**V**: 19.06 A^3/atom
**E**: -40.1 eV/cell
**DFT formation energy**: 1.11 eV per atom
**Space-group type**: Pm-3m, No. 221

Cell: 4.568 4.568 4.568 Å, 90.00 90.00 90.00°
Element x y z (fractional)
V (0.000, 0.000, 0.000)
Sn (0.500, 0.500, 0.500)
Mo (0.000, 0.000, 0.500)
Mo (0.000, 0.500, 0.000)
Mo (0.500, 0.000, 0.000)

=====

Computed, not measured: an optimized crystal structure of AlNiN2 at the PBE level of DFT.

Summary:
**V**: 10.48 A^3/atom
**Formation energy from raw total energies**: -1.048 eV per formula unit
**E**: -54.4 eV/cell
**Space-group type**: I-42d, No. 122

Cell: 5.439 5.439 5.439 Å, 133.27 133.27 68.22°
Element x y z (fractional)
Al (0.000, 0.000, 0.000)
Al (0.750, 0.250, 0.500)
Ni (0.250, 0.750, 0.500)
Ni (0.500, 0.500, 0.000)
N (0.124, 0.625, 0.999)
N (0.375, 0.374, 0.499)
N (0.626, 0.125, 0.001)
N (0.875, 0.876, 0.501)

=====

Computed, not measured: an optimized crystal structure of Cu2SeBr at the PBE level of DFT.

Summary:
**V**: 22.09 A^3/atom
**Formation energy from raw total energies**: -0.024 eV per formula unit
**E**: -13.4 eV/cell
**Space-group type**: Imm2, No. 44

Cell: 7.695 7.695 7.695 Å, 154.63 153.05 37.35°
Element x y z (fractional)
Cu (0.000, 0.000, 0.000)
Cu (0.630, 0.130, 0.500)
Se (0.149, 0.649, 0.500)
Br (0.421, 0.421, 0.000)

=====

Computed, not measured: an optimized crystal structure of ErTh3Pt3 at the PBE level of DFT.

Summary:
**V**: 26.33 A^3/atom
**E**: -208.8 eV/cell
**DFT formation energy**: -1.04 eV per atom
**Space-group type**: Pnma, No. 62

Cell: 12.501 4.078 14.458 Å, 90.00 90.00 90.00°
Element x y z (fractional)
Er (0.013, 0.250, 0.190)
Er (0.487, 0.750, 0.690)
Er (0.513, 0.250, 0.310)
Er (0.987, 0.750, 0.810)
Th (0.047, 0.250, 0.606)
Th (0.181, 0.750, 0.030)
Th (0.244, 0.750, 0.304)
Th (0.256, 0.250, 0.804)
Th (0.319, 0.250, 0.530)
Th (0.453, 0.750, 0.106)
Th (0.547, 0.250, 0.894)
Th (0.681, 0.750, 0.470)
Th (0.744, 0.750, 0.196)
Th (0.756, 0.250, 0.696)
Th (0.819, 0.250, 0.970)
Th (0.953, 0.750, 0.394)
Pt (0.060, 0.250, 0.930)
Pt (0.119, 0.250, 0.406)
Pt (0.212, 0.750, 0.664)
Pt (0.288, 0.250, 0.164)
Pt (0.381, 0.750, 0.906)
Pt (0.440, 0.750, 0.430)
Pt (0.560, 0.250, 0.570)
Pt (0.619, 0.250, 0.094)
Pt (0.712, 0.750, 0.836)
Pt (0.788, 0.250, 0.336)
Pt (0.881, 0.750, 0.594)
Pt (0.940, 0.750, 0.070)

=====

Computed, not measured: an optimized crystal structure of PrNdSmHg at the PBE level of DFT.

Summary:
**V**: 31.60 A^3/atom
**E**: -15.5 eV/cell
**DFT formation energy**: -0.23 eV per atom
**Space-group type**: P4mm, No. 99

Cell: 3.744 3.744 9.016 Å, 90.00 90.00 90.00°
Element x y z (fractional)
Pr (0.000, 0.000, 0.000)
Nd (0.500, 0.500, 0.716)
Sm (0.500, 0.500, 0.280)
Hg (0.000, 0.000, 0.492)